[1]
Mn5BeB2W2 after structural relaxation. Source: the Alexandria database, functional PBE.

abc: 2.9332 8.4878 8.4878
angles: 90.00 90.00 90.00
Element x y z (fractional)
Mn 0.5000 0.2906 0.5663
B 0.0000 0.1251 0.6251
Mn 0.5000 0.7906 0.9337
Mn 0.5000 0.9337 0.2094
B 0.0000 0.6251 0.8749
Mn 0.5000 0.7094 0.4337
Mn 0.5000 0.0000 0.5000
Mn 0.5000 0.5663 0.7094
B 0.0000 0.8749 0.3749
B 0.0000 0.3749 0.1251
W 0.0000 0.1760 0.3240
Mn 0.5000 0.5000 0.0000
Mn 0.5000 0.4337 0.2906
W 0.0000 0.8240 0.6760
Mn 0.5000 0.2094 0.0663
Be 0.0000 0.5000 0.5000
W 0.0000 0.6760 0.1760
W 0.0000 0.3240 0.8240
Mn 0.5000 0.0663 0.7906
Be 0.0000 0.0000 0.0000

Calculated values
Crystal system: tetragonal
Formation enthalpy at 0 K in meV per atom: -249
Energy in eV/atom: -9.13
Calculated density in g/cm3: 10.58

[2]
YMnBe2B after structural relaxation. Source: the Alexandria database, functional PBE.

abc: 4.6131 4.2929 4.6131
angles: 90.00 90.00 90.00
Element x y z (fractional)
Y 0.0000 0.0000 0.0000
Mn 0.5000 0.5000 0.5000
B 0.0000 0.5000 0.0000
Be 0.0000 0.0000 0.5000
Be 0.5000 0.0000 0.0000

Calculated values
Crystal system: tetragonal
Formation enthalpy at 0 K in meV per atom: 2532
Energy in eV/atom: -3.42
Calculated density in g/cm3: 3.14

[3]
BeB3Mo2 after structural relaxation. Source: the Alexandria database, functional PBE.

abc: 3.1723 3.1723 12.5253
angles: 90.00 90.00 120.00
Element x y z (fractional)
B 0.3333 0.6667 0.7500
Mo 0.0000 0.0000 0.3780
Mo 0.0000 0.0000 0.8780
B 0.6667 0.3333 0.0012
B 0.6667 0.3333 0.2500
B 0.6667 0.3333 0.4988
Be 0.3333 0.6667 0.2500
Be 0.6667 0.3333 0.7500
Mo 0.0000 0.0000 0.1220
B 0.3333 0.6667 0.9988
Mo 0.0000 0.0000 0.6220
B 0.3333 0.6667 0.5012

Calculated values
Crystal system: hexagonal
Formation enthalpy at 0 K in meV per atom: -331
Energy in eV/atom: -7.90
Calculated density in g/cm3: 7.10

[4]
BeBMo after structural relaxation. Source: the Alexandria database, functional PBE.

abc: 8.9338 8.9338 5.7093
angles: 39.79 39.79 51.77
Element x y z (fractional)
B 0.7653 0.2347 0.2500
B 0.4675 0.6204 0.8008
Be 0.3611 0.6389 0.2500
B 0.3796 0.5325 0.6992
Mo 0.6589 0.7970 0.0618
B 0.2347 0.7653 0.7500
Be 0.5889 0.0424 0.4912
Be 0.4111 0.9576 0.5088
B 0.6204 0.4675 0.3008
Be 0.6389 0.3611 0.7500
Mo 0.7970 0.6589 0.5618
Be 0.0424 0.5889 0.9912
B 0.5325 0.3796 0.1992
Mo 0.9491 0.0509 0.7500
Be 0.9576 0.4111 0.0088
Mo 0.3411 0.2030 0.9382
Mo 0.0509 0.9491 0.2500
Mo 0.2030 0.3411 0.4382

Calculated values
Crystal system: monoclinic
Formation enthalpy at 0 K in meV per atom: 113
Energy in eV/atom: -6.97
Calculated density in g/cm3: 6.20
ΔE to the lowest computed polymorph in meV per atom: 484.3

[5]
BeBMo after structural relaxation. Source: the Alexandria database, functional PBE.

abc: 3.1581 4.4550 4.7320
angles: 73.39 70.51 69.24
Element x y z (fractional)
B 0.3675 0.5957 0.6694
Be 0.6949 0.7021 0.9082
B 0.6325 0.4043 0.3306
Mo 0.9276 0.8242 0.3206
Be 0.3051 0.2979 0.0918
Mo 0.0724 0.1758 0.6794

Calculated values
Crystal system: monoclinic
Formation enthalpy at 0 K in meV per atom: -371
Energy in eV/atom: -7.45
Calculated density in g/cm3: 6.67
ΔE to the lowest computed polymorph in meV per atom: 0.0

[6]
Be3BMo after structural relaxation. Source: the Alexandria database, functional PBE.

abc: 3.6267 3.6267 3.6267
angles: 90.00 90.00 90.00
Element x y z (fractional)
Be 0.0000 0.5000 0.0000
Be 0.5000 0.0000 0.0000
B 0.0000 0.0000 0.0000
Mo 0.5000 0.5000 0.5000
Be 0.0000 0.0000 0.5000

Calculated values
Crystal system: cubic
Formation enthalpy at 0 K in meV per atom: 417
Energy in eV/atom: -5.32
Calculated density in g/cm3: 4.66
ΔE to the lowest computed polymorph in meV per atom: 628.1

[7]
BeB3Mo after structural relaxation. Source: the Alexandria database, functional PBE.

abc: 4.0995 4.0995 4.0995
angles: 90.00 90.00 90.00
Element x y z (fractional)
Be 0.5000 0.5000 0.5000
B 0.0000 0.0000 0.5000
Mo 0.0000 0.0000 0.0000
B 0.5000 0.0000 0.0000
B 0.0000 0.5000 0.0000

Calculated values
Crystal system: cubic
Formation enthalpy at 0 K in meV per atom: 1660
Energy in eV/atom: -5.26
Calculated density in g/cm3: 3.31
ΔE to the lowest computed polymorph in meV per atom: 1600.8

[8]
Be3BMo after structural relaxation. Source: the Alexandria database, functional PBE.

abc: 4.2690 4.2690 4.2690
angles: 90.00 90.00 90.00
Element x y z (fractional)
Be 0.0000 0.0000 0.5000
Mo 0.0000 0.0000 0.0000
Be 0.5000 0.0000 0.0000
B 0.5000 0.5000 0.5000
Be 0.0000 0.5000 0.0000

Calculated values
Crystal system: cubic
Formation enthalpy at 0 K in meV per atom: 2233
Energy in eV/atom: -3.50
Calculated density in g/cm3: 2.86
ΔE to the lowest computed polymorph in meV per atom: 2444.2

[9]
BeBMo after structural relaxation. Source: the Alexandria database, functional PBE.

abc: 2.7175 2.7175 4.4993
angles: 107.58 107.58 90.00
Element x y z (fractional)
Be 0.9179 0.9179 0.8358
Mo 0.6210 0.6210 0.2420
B 0.3111 0.3111 0.6222

Calculated values
Crystal system: tetragonal
Formation enthalpy at 0 K in meV per atom: 314
Energy in eV/atom: -6.76
Calculated density in g/cm3: 6.40
ΔE to the lowest computed polymorph in meV per atom: 685.6

[10]
BeBMo2 after structural relaxation. Source: the Alexandria database, functional PBE.

abc: 3.1775 4.6046 6.3876
angles: 110.23 90.00 90.00
Element x y z (fractional)
Mo 0.2500 0.7981 0.5693
Be 0.7500 0.6304 0.7812
B 0.7500 0.6298 0.2820
Mo 0.7500 0.2019 0.4307
B 0.2500 0.3702 0.7180
Mo 0.7500 0.2085 0.9222
Mo 0.2500 0.7915 0.0778
Be 0.2500 0.3696 0.2188

Calculated values
Crystal system: monoclinic
Formation enthalpy at 0 K in meV per atom: -432
Energy in eV/atom: -8.45
Calculated density in g/cm3: 8.02
ΔE to the lowest computed polymorph in meV per atom: 0.0

[11]
Be3B2Mo after structural relaxation. Source: the Alexandria database, functional PBE.

abc: 3.1687 6.0411 6.0261
angles: 115.52 90.00 105.20
Element x y z (fractional)
Be 0.6803 0.3607 0.4516
B 0.4819 0.9638 0.8477
Be 0.6068 0.2136 0.7258
Mo 0.1554 0.3108 0.0847
Be 0.3197 0.6393 0.5484
B 0.5181 0.0362 0.1523
Be 0.9617 0.9234 0.6430
Be 0.0383 0.0766 0.3570
Mo 0.8446 0.6892 0.9153
B 0.1879 0.3758 0.6944
B 0.8121 0.6242 0.3056
Be 0.3932 0.7864 0.2742

Calculated values
Crystal system: monoclinic
Formation enthalpy at 0 K in meV per atom: -164
Energy in eV/atom: -6.06
Calculated density in g/cm3: 4.82

[12]
BeB4Mo after structural relaxation. Source: the Alexandria database, functional PBE.

abc: 3.1241 5.9047 5.9046
angles: 108.30 103.32 76.68
Element x y z (fractional)
B 0.4577 0.0911 0.9089
Be 0.0000 0.8291 0.8291
B 0.5000 0.3741 0.3741
Mo 0.1320 0.3400 0.6600
B 0.5807 0.6011 0.9342
B 0.4193 0.3989 0.0658
B 0.4193 0.9342 0.6011
B 0.5000 0.6259 0.6259
Be 0.0000 0.1709 0.1709
B 0.5807 0.0658 0.3989
Mo 0.8680 0.6600 0.3400
B 0.5423 0.9089 0.0911

Calculated values
Crystal system: monoclinic
Formation enthalpy at 0 K in meV per atom: -41
Energy in eV/atom: -6.92
Calculated density in g/cm3: 4.96